1.
Material: Nb9IrSe20
Method: DFT, PBE
State: optimized geometry

VASP energy ... -192.08 eV per formula unit
Formation energy (no corrections) ... -17.6 kcal/mol of atoms

Cell and atoms, written as CIF:
```
data_Nb9IrSe20
_chemical_formula_sum 'Nb9 Ir1 Se20'
_space_group_name_H-M_alt 'P -1'
_space_group_IT_number 2
_space_group_name_Hall '-P 1'
_cell_length_a 6.9528
_cell_length_b 9.6617
_cell_length_c 11.3918
_cell_angle_alpha 80.81
_cell_angle_beta 81.17
_cell_angle_gamma 68.91
loop_
_atom_site_label
_atom_site_type_symbol
_atom_site_fract_x
_atom_site_fract_y
_atom_site_fract_z
_atom_site_occupancy
Nb1 Nb 0.0000 0.0000 0.0000 1
Nb2 Nb 0.0814 0.2219 0.2196 1
Nb3 Nb 0.1923 0.4111 0.4108 1
Nb4 Nb 0.3089 0.5896 0.5893 1
Nb5 Nb 0.4145 0.7781 0.7801 1
Ir1 Ir 0.5000 0.0000 0.0000 1
Se1 Se 0.0467 0.6942 0.4280 1
Se2 Se 0.0569 0.5025 0.7643 1
Se3 Se 0.1510 0.7186 0.9588 1
Se4 Se 0.1533 0.8827 0.6230 1
Se5 Se 0.2492 0.9327 0.1652 1
Se6 Se 0.2650 0.0673 0.8347 1
Se7 Se 0.3450 0.1206 0.3766 1
Se8 Se 0.3550 0.2684 0.0440 1
Se9 Se 0.4414 0.4979 0.2352 1
Se10 Se 0.4536 0.3064 0.5726 1
```


2.
Material: NbIr3Se
Method: DFT, PBE
State: optimized geometry

VASP energy ... -34.01 eV per formula unit
Formation energy (no corrections) ... 28.3 kcal/mol of atoms
Energy above the lowest structure with this stoichiometry ... 0.000 eV/atom

Cell and atoms, written as CIF:
```
data_NbIr3Se
_chemical_formula_sum 'Nb1 Ir3 Se1'
_space_group_name_H-M_alt 'P m -3 m'
_space_group_IT_number 221
_space_group_name_Hall '-P 4 2 3'
_cell_length_a 4.5634
_cell_length_b 4.5634
_cell_length_c 4.5634
_cell_angle_alpha 90.00
_cell_angle_beta 90.00
_cell_angle_gamma 90.00
loop_
_atom_site_label
_atom_site_type_symbol
_atom_site_fract_x
_atom_site_fract_y
_atom_site_fract_z
_atom_site_occupancy
Nb1 Nb 0.0000 0.0000 0.0000 1
Ir1 Ir 0.0000 0.5000 0.5000 1
Se1 Se 0.5000 0.5000 0.5000 1
```


3.
Material: NbIrSe4
Method: DFT, PBE
State: optimized geometry

VASP energy ... -36.72 eV per formula unit
Formation energy (no corrections) ... -14.8 kcal/mol of atoms
Energy above the lowest structure with this stoichiometry ... 0.000 eV/atom

Cell and atoms, written as CIF:
```
data_NbIrSe4
_chemical_formula_sum 'Nb2 Ir2 Se8'
_space_group_name_H-M_alt 'C 1 m 1'
_space_group_IT_number 8
_space_group_name_Hall 'C -2y'
_cell_length_a 13.6487
_cell_length_b 3.6255
_cell_length_c 5.9202
_cell_angle_alpha 90.00
_cell_angle_beta 102.96
_cell_angle_gamma 90.00
loop_
_atom_site_label
_atom_site_type_symbol
_atom_site_fract_x
_atom_site_fract_y
_atom_site_fract_z
_atom_site_occupancy
Nb1 Nb 0.0000 0.0000 0.0000 1
Ir1 Ir 0.0094 0.5000 0.3984 1
Se1 Se 0.1073 0.5000 0.8205 1
Se2 Se 0.1359 0.0000 0.3552 1
Se3 Se 0.3696 0.0000 0.0337 1
Se4 Se 0.4092 0.5000 0.5383 1
```


4.
Material: Nb3IrSe
Method: DFT, PBE
State: optimized geometry

VASP energy ... -38.08 eV per formula unit
Formation energy (no corrections) ... 20.7 kcal/mol of atoms
Energy above the lowest structure with this stoichiometry ... 0.066 eV/atom

Cell and atoms, written as CIF:
```
data_Nb3IrSe
_chemical_formula_sum 'Nb3 Ir1 Se1'
_space_group_name_H-M_alt 'P m -3 m'
_space_group_IT_number 221
_space_group_name_Hall '-P 4 2 3'
_cell_length_a 4.8884
_cell_length_b 4.8884
_cell_length_c 4.8884
_cell_angle_alpha 90.00
_cell_angle_beta 90.00
_cell_angle_gamma 90.00
loop_
_atom_site_label
_atom_site_type_symbol
_atom_site_fract_x
_atom_site_fract_y
_atom_site_fract_z
_atom_site_occupancy
Nb1 Nb 0.0000 0.0000 0.5000 1
Ir1 Ir 0.0000 0.0000 0.0000 1
Se1 Se 0.5000 0.5000 0.5000 1
```


5.
Material: Nb3IrSe
Method: DFT, PBE
State: optimized geometry

VASP energy ... -38.41 eV per formula unit
Formation energy (no corrections) ... 19.1 kcal/mol of atoms
Energy above the lowest structure with this stoichiometry ... 0.000 eV/atom

Cell and atoms, written as CIF:
```
data_Nb3IrSe
_chemical_formula_sum 'Nb3 Ir1 Se1'
_space_group_name_H-M_alt 'P m -3 m'
_space_group_IT_number 221
_space_group_name_Hall '-P 4 2 3'
_cell_length_a 4.6596
_cell_length_b 4.6596
_cell_length_c 4.6596
_cell_angle_alpha 90.00
_cell_angle_beta 90.00
_cell_angle_gamma 90.00
loop_
_atom_site_label
_atom_site_type_symbol
_atom_site_fract_x
_atom_site_fract_y
_atom_site_fract_z
_atom_site_occupancy
Nb1 Nb 0.0000 0.0000 0.5000 1
Ir1 Ir 0.5000 0.5000 0.5000 1
Se1 Se 0.0000 0.0000 0.0000 1
```


6.
Material: Nb3IrSe8
Method: DFT, PBE
State: optimized geometry

VASP energy ... -74.84 eV per formula unit
Formation energy (no corrections) ... -15.2 kcal/mol of atoms
Energy above the lowest structure with this stoichiometry ... 0.059 eV/atom

Cell and atoms, written as CIF:
```
data_Nb3IrSe8
_chemical_formula_sum 'Nb6 Ir2 Se16'
_space_group_name_H-M_alt 'C 1 2/m 1'
_space_group_IT_number 12
_space_group_name_Hall '-C 2y'
_cell_length_a 11.8495
_cell_length_b 6.8443
_cell_length_c 9.0884
_cell_angle_alpha 90.00
_cell_angle_beta 129.99
_cell_angle_gamma 90.00
loop_
_atom_site_label
_atom_site_type_symbol
_atom_site_fract_x
_atom_site_fract_y
_atom_site_fract_z
_atom_site_occupancy
Nb1 Nb 0.0000 0.0000 0.0000 1
Nb2 Nb 0.2500 0.2500 0.0000 1
Ir1 Ir 0.0000 0.5000 0.0000 1
Se1 Se 0.0412 0.5000 0.7563 1
Se2 Se 0.0462 0.0000 0.7556 1
Se3 Se 0.2006 0.2580 0.2432 1
```


7.
Material: NbIrSe
Method: DFT, PBE
State: optimized geometry

VASP energy ... -22.39 eV per formula unit
Formation energy (no corrections) ... 0.2 kcal/mol of atoms

Cell and atoms, written as CIF:
```
data_NbIrSe
_chemical_formula_sum 'Nb4 Ir4 Se4'
_space_group_name_H-M_alt 'A m m 2'
_space_group_IT_number 38
_space_group_name_Hall 'A 2 -2'
_cell_length_a 10.0702
_cell_length_b 3.5048
_cell_length_c 6.2069
_cell_angle_alpha 90.00
_cell_angle_beta 90.00
_cell_angle_gamma 90.00
loop_
_atom_site_label
_atom_site_type_symbol
_atom_site_fract_x
_atom_site_fract_y
_atom_site_fract_z
_atom_site_occupancy
Nb1 Nb 0.1668 0.0000 0.0000 1
Ir1 Ir 0.0000 0.0000 0.6664 1
Ir2 Ir 0.5000 0.0000 0.9648 1
Se1 Se 0.3384 0.0000 0.6656 1
```


8.
Material: Nb2IrSe6
Method: DFT, PBE
State: optimized geometry

VASP energy ... -53.94 eV per formula unit
Formation energy (no corrections) ... -10.3 kcal/mol of atoms

Cell and atoms, written as CIF:
```
data_Nb2IrSe6
_chemical_formula_sum 'Nb4 Ir2 Se12'
_space_group_name_H-M_alt 'P 1 21/c 1'
_space_group_IT_number 14
_space_group_name_Hall '-P 2ybc'
_cell_length_a 6.3498
_cell_length_b 6.2485
_cell_length_c 11.3248
_cell_angle_alpha 90.00
_cell_angle_beta 121.58
_cell_angle_gamma 90.00
loop_
_atom_site_label
_atom_site_type_symbol
_atom_site_fract_x
_atom_site_fract_y
_atom_site_fract_z
_atom_site_occupancy
Nb1 Nb 0.1828 0.1503 0.2486 1
Ir1 Ir 0.5000 0.0000 0.0000 1
Se1 Se 0.0874 0.1672 0.9232 1
Se2 Se 0.2369 0.6633 0.9234 1
Se3 Se 0.4324 0.0286 0.7602 1
```


9.
Material: NbIrSe4
Method: DFT, PBE
State: optimized geometry

VASP energy ... -35.02 eV per formula unit
Formation energy (no corrections) ... -8.3 kcal/mol of atoms
Energy above the lowest structure with this stoichiometry ... 0.283 eV/atom

Cell and atoms, written as CIF:
```
data_NbIrSe4
_chemical_formula_sum 'Nb2 Ir2 Se8'
_space_group_name_H-M_alt 'C m m m'
_space_group_IT_number 65
_space_group_name_Hall '-C 2 2'
_cell_length_a 8.4231
_cell_length_b 8.5602
_cell_length_c 3.7509
_cell_angle_alpha 90.00
_cell_angle_beta 90.00
_cell_angle_gamma 90.00
loop_
_atom_site_label
_atom_site_type_symbol
_atom_site_fract_x
_atom_site_fract_y
_atom_site_fract_z
_atom_site_occupancy
Nb1 Nb 0.0000 0.0000 0.0000 1
Ir1 Ir 0.0000 0.5000 0.5000 1
Se1 Se 0.0000 0.2068 0.5000 1
Se2 Se 0.1928 0.5000 0.0000 1
```


10.
Material: NbIrSe6
Method: DFT, PBE
State: optimized geometry

VASP energy ... -41.74 eV per formula unit
Formation energy (no corrections) ... -5.5 kcal/mol of atoms

Cell and atoms, written as CIF:
```
data_NbIrSe6
_chemical_formula_sum 'Nb1 Ir1 Se6'
_space_group_name_H-M_alt 'P -1'
_space_group_IT_number 2
_space_group_name_Hall '-P 1'
_cell_length_a 6.0937
_cell_length_b 6.1919
_cell_length_c 6.2330
_cell_angle_alpha 68.56
_cell_angle_beta 62.66
_cell_angle_gamma 62.48
loop_
_atom_site_label
_atom_site_type_symbol
_atom_site_fract_x
_atom_site_fract_y
_atom_site_fract_z
_atom_site_occupancy
Nb1 Nb 0.0000 0.0000 0.0000 1
Ir1 Ir 0.5000 0.5000 0.5000 1
Se1 Se 0.0408 0.7458 0.7435 1
Se2 Se 0.3129 0.5770 0.1841 1
Se3 Se 0.4249 0.0945 0.6812 1
```


11.
Material: NbIr2Se2
Method: DFT, PBE
State: optimized geometry

VASP energy ... -32.01 eV per formula unit
Formation energy (no corrections) ... 12.7 kcal/mol of atoms
Energy above the lowest structure with this stoichiometry ... 0.291 eV/atom

Cell and atoms, written as CIF:
```
data_NbIr2Se2
_chemical_formula_sum 'Nb2 Ir4 Se4'
_space_group_name_H-M_alt 'I 4/m m m'
_space_group_IT_number 139
_space_group_name_Hall '-I 4 2'
_cell_length_a 3.9039
_cell_length_b 3.9039
_cell_length_c 11.8407
_cell_angle_alpha 90.00
_cell_angle_beta 90.00
_cell_angle_gamma 90.00
loop_
_atom_site_label
_atom_site_type_symbol
_atom_site_fract_x
_atom_site_fract_y
_atom_site_fract_z
_atom_site_occupancy
Nb1 Nb 0.0000 0.0000 0.0000 1
Ir1 Ir 0.0000 0.5000 0.2500 1
Se1 Se 0.0000 0.0000 0.3832 1
```


12.
Material: NbSiIrSe2
Method: DFT, PBE
State: optimized geometry

VASP energy ... -26.33 eV per formula unit
Formation energy (no corrections) ... 23.0 kcal/mol of atoms

Cell and atoms, written as CIF:
```
data_NbSiIrSe2
_chemical_formula_sum 'Nb1 Si1 Ir1 Se2'
_space_group_name_H-M_alt 'P 4/m m m'
_space_group_IT_number 123
_space_group_name_Hall '-P 4 2'
_cell_length_a 4.8349
_cell_length_b 4.8349
_cell_length_c 4.9887
_cell_angle_alpha 90.00
_cell_angle_beta 90.00
_cell_angle_gamma 90.00
loop_
_atom_site_label
_atom_site_type_symbol
_atom_site_fract_x
_atom_site_fract_y
_atom_site_fract_z
_atom_site_occupancy
Nb1 Nb 0.0000 0.0000 0.0000 1
Si1 Si 0.5000 0.5000 0.0000 1
Ir1 Ir 0.0000 0.0000 0.5000 1
Se1 Se 0.0000 0.5000 0.5000 1
```


Please write out number 5 again, unchanged.
Material: Nb3IrSe
Method: DFT, PBE
State: optimized geometry

VASP energy ... -38.41 eV per formula unit
Formation energy (no corrections) ... 19.1 kcal/mol of atoms
Energy above the lowest structure with this stoichiometry ... 0.000 eV/atom

Cell and atoms, written as CIF:
```
data_Nb3IrSe
_chemical_formula_sum 'Nb3 Ir1 Se1'
_space_group_name_H-M_alt 'P m -3 m'
_space_group_IT_number 221
_space_group_name_Hall '-P 4 2 3'
_cell_length_a 4.6596
_cell_length_b 4.6596
_cell_length_c 4.6596
_cell_angle_alpha 90.00
_cell_angle_beta 90.00
_cell_angle_gamma 90.00
loop_
_atom_site_label
_atom_site_type_symbol
_atom_site_fract_x
_atom_site_fract_y
_atom_site_fract_z
_atom_site_occupancy
Nb1 Nb 0.0000 0.0000 0.5000 1
Ir1 Ir 0.5000 0.5000 0.5000 1
Se1 Se 0.0000 0.0000 0.0000 1
```


Please write out number 6 again, unchanged.
Material: Nb3IrSe8
Method: DFT, PBE
State: optimized geometry

VASP energy ... -74.84 eV per formula unit
Formation energy (no corrections) ... -15.2 kcal/mol of atoms
Energy above the lowest structure with this stoichiometry ... 0.059 eV/atom

Cell and atoms, written as CIF:
```
data_Nb3IrSe8
_chemical_formula_sum 'Nb6 Ir2 Se16'
_space_group_name_H-M_alt 'C 1 2/m 1'
_space_group_IT_number 12
_space_group_name_Hall '-C 2y'
_cell_length_a 11.8495
_cell_length_b 6.8443
_cell_length_c 9.0884
_cell_angle_alpha 90.00
_cell_angle_beta 129.99
_cell_angle_gamma 90.00
loop_
_atom_site_label
_atom_site_type_symbol
_atom_site_fract_x
_atom_site_fract_y
_atom_site_fract_z
_atom_site_occupancy
Nb1 Nb 0.0000 0.0000 0.0000 1
Nb2 Nb 0.2500 0.2500 0.0000 1
Ir1 Ir 0.0000 0.5000 0.0000 1
Se1 Se 0.0412 0.5000 0.7563 1
Se2 Se 0.0462 0.0000 0.7556 1
Se3 Se 0.2006 0.2580 0.2432 1
```


- What is the formula in the eleventh record?
  NbIr2Se2